[1]
Ba2PtBr at its PBEsol-relaxed geometry, computed with meta-GGA SCAN.

Values from the calculation:
offset from the most stable computed form	227.3	meV/atom
ΔE_f (raw)	-4.90	eV per formula unit

a b c (Å): 5.5258 5.5258 3.8411
angles (deg): 90.00 90.00 90.00
Closest atoms and distances in Å follow each position.
Space group P4/mmm (No. 123)
One atom of each set of equivalent atoms:
Ba  0.0000  0.5000  0.0000 x2  4 Br 3.36, 4 Pt 3.36
Pt  0.0000  0.0000  0.5000 x1  8 Ba 3.36
Br  0.5000  0.5000  0.5000 x1  8 Ba 3.36

=====

[2]
SrAsW2 at its PBEsol-relaxed geometry, computed with meta-GGA SCAN.

Values from the calculation:
DFT formation energy	1262	meV per atom

a b c (Å): 5.5534 10.0757 2.7442
angles (deg): 90.00 90.00 90.00
Closest atoms and distances in Å follow each position.
Space group Cmmm (No. 65)
One atom of each set of equivalent atoms:
Sr  0.0000  0.0000  0.0000 x2  2 Sr 2.74, 2 As 2.78
As  0.0000  0.5000  0.0000 x2  2 As 2.74, 2 Sr 2.78
W  0.2500  0.2500  0.5000 x4  4 W 2.74-2.78

=====

[3]
Ca2AlPd2 at its PBEsol-relaxed geometry, computed with meta-GGA SCAN.

Values from the calculation:
DFT formation energy	-858	meV per atom

a b c (Å): 9.8421 5.7031 7.6880
angles (deg): 90.00 102.60 90.00
Closest atoms and distances in Å follow each position.
Space group C2/c (No. 15)
One atom of each set of equivalent atoms:
Ca  0.1494  0.1327  0.1484 x8  6 Pd 3.04-3.09, 3 Al 3.33-3.39
Al  0.0000  0.3773  0.7500 x4  4 Pd 2.50-2.53
Pd  0.1283  0.3678  0.5029 x8  2 Al 2.50-2.53, 1 Pd 2.76

=====

[4]
Cs2NaTiF6 at its PBEsol-relaxed geometry, computed with meta-GGA SCAN.

Values from the calculation:
ΔE_f (raw)	-32.99	eV per formula unit

a b c (Å): 6.2210 6.2210 15.1783
angles (deg): 90.00 90.00 120.00
Closest atoms and distances in Å follow each position.
Space group P-3m1 (No. 164)
One atom of each set of equivalent atoms:
Cs  0.0000  0.0000  0.2482 x2  12 F 3.12-3.15
Cs  0.3333  0.6667  0.0889 x2  12 F 3.07-3.14
Cs  0.3333  0.6667  0.3964 x2  12 F 3.12-3.33
Na  0.0000  0.0000  0.0000 x1  6 F 2.36
Na  0.3333  0.6667  0.6438 x2  6 F 2.23-2.35
Ti  0.0000  0.0000  0.5000 x1  6 F 1.98
Ti  0.3333  0.6667  0.8401 x2  6 F 1.98-1.99
F  0.0433  0.5217  0.7594 x6  1 Ti 1.99
F  0.1512  0.3025  0.5741 x6  1 Ti 1.98
F  0.1809  0.3618  0.9127 x6  1 Ti 1.98

=====

[5]
TcSbOs at its PBEsol-relaxed geometry, computed with meta-GGA SCAN.

Values from the calculation:
offset from the most stable computed form	11.0	meV/atom
ΔE_f (raw)	1.13	eV per formula unit

a b c (Å): 2.9478 2.9478 11.3100
angles (deg): 90.00 90.00 90.00
Closest atoms and distances in Å follow each position.
Space group I4mm (No. 107)
One atom of each set of equivalent atoms:
Tc  0.0000  0.0000  0.0000 x2  4 Os 2.60
Sb  0.0000  0.0000  0.3205 x2  4 Tc 2.91, 4 Os 2.94, 4 Sb 2.95
Os  0.0000  0.0000  0.6368 x2  4 Tc 2.60

=====

[6]
KNdTiO4 at its PBEsol-relaxed geometry, computed with meta-GGA SCAN.

Values from the calculation:
ΔE_f (raw)	-22.87	eV per formula unit

a b c (Å): 13.2497 5.4149 5.3639
angles (deg): 90.00 90.00 90.00
Closest atoms and distances in Å follow each position.
Space group Pbcm (No. 57)
One atom of each set of equivalent atoms:
K  0.0938  0.0117  0.2500 x4  7 O 2.69-2.99
Nd  0.3961  0.0146  0.2500 x4  6 O 2.29-2.49
Ti  0.2466  0.5041  0.2500 x4  5 O 1.75-1.96
O  0.1145  0.5179  0.2500 x4  1 Ti 1.75
O  0.2708  0.2500  0.0000 x4  2 Ti 1.95
O  0.2853  0.7500  0.0000 x4  2 Ti 1.96
O  0.4324  0.0418  0.7500 x4  2 Nd 2.29-2.45, 1 Ti 2.47

=====

[7]
NiPbAu2 at its PBEsol-relaxed geometry, computed with meta-GGA SCAN.

Values from the calculation:
DFT formation energy	242	meV per atom

a b c (Å): 6.5399 6.5399 6.5399
angles (deg): 90.00 90.00 90.00
Closest atoms and distances in Å follow each position.
Space group F-43m (No. 216)
One atom of each set of equivalent atoms:
Ni  0.0000  0.0000  0.0000 x4  4 Pb 2.83, 4 Au 2.83
Pb  0.2500  0.2500  0.7500 x4  4 Ni 2.83, 4 Au 2.83
Au  0.0000  0.0000  0.5000 x4  4 Au 2.83, 4 Pb 2.83
Au  0.2500  0.2500  0.2500 x4  4 Ni 2.83, 4 Au 2.83

=====

[8]
MgTeSe2 at its PBEsol-relaxed geometry, computed with meta-GGA SCAN.

Values from the calculation:
offset from the most stable computed form	343.2	meV/atom
ΔE_f (raw)	-0.19	eV per formula unit

a b c (Å): 3.9934 3.9934 11.5810
angles (deg): 90.00 90.00 90.00
Closest atoms and distances in Å follow each position.
Space group I4/mmm (No. 139)
One atom of each set of equivalent atoms:
Mg  0.0000  0.0000  0.0000 x2  4 Te 2.82
Te  0.0000  0.0000  0.5000 x2  4 Mg 2.82
Se  0.0000  0.5000  0.2500 x4  4 Se 2.82

=====

[9]
KSc3W at its PBEsol-relaxed geometry, computed with meta-GGA SCAN.

Values from the calculation:
DFT formation energy	1901	meV per atom

a b c (Å): 4.6350 4.6350 4.6350
angles (deg): 90.00 90.00 90.00
Closest atoms and distances in Å follow each position.
Space group Pm-3m (No. 221)
One atom of each set of equivalent atoms:
K  0.0000  0.0000  0.0000 x1  6 Sc 2.32
Sc  0.0000  0.0000  0.5000 x3  2 K 2.32
W  0.5000  0.5000  0.5000 x1  12 Sc 3.28

=====

[10]
RbNa3Sb at its PBEsol-relaxed geometry, computed with meta-GGA SCAN.

Values from the calculation:
ΔE_f (raw)	2.83	eV per formula unit

a b c (Å): 5.8050 5.8050 5.8050
angles (deg): 90.00 90.00 90.00
Closest atoms and distances in Å follow each position.
Space group Pm-3m (No. 221)
One atom of each set of equivalent atoms:
Rb  0.0000  0.0000  0.0000 x1  6 Na 2.90
Na  0.0000  0.0000  0.5000 x3  2 Rb 2.90
Sb  0.5000  0.5000  0.5000 x1  12 Na 4.10

=====

[11]
HPtN2F at its PBEsol-relaxed geometry, computed with meta-GGA SCAN.

Values from the calculation:
E_tot	-17.39	eV/atom

a b c (Å): 3.2334 3.2334 3.7620
angles (deg): 90.00 90.00 90.00
Closest atoms and distances in Å follow each position.
Space group P4/mmm (No. 123)
One atom of each set of equivalent atoms:
H  0.0000  0.0000  0.0000 x1  4 N 1.62
Pt  0.5000  0.5000  0.5000 x1  4 F 2.29, 8 N 2.48
N  0.0000  0.5000  0.0000 x2  2 H 1.62
F  0.0000  0.0000  0.5000 x1  2 H 1.88

=====

[12]
Zr2ZnIr at its PBEsol-relaxed geometry, computed with meta-GGA SCAN.

Values from the calculation:
DFT formation energy	-435	meV per atom

a b c (Å): 6.4544 6.4544 6.4544
angles (deg): 90.00 90.00 90.00
Closest atoms and distances in Å follow each position.
Space group F-43m (No. 216)
One atom of each set of equivalent atoms:
Zr  0.0000  0.0000  0.0000 x4  4 Zr 2.79, 4 Zn 2.79
Zr  0.2500  0.2500  0.2500 x4  4 Zr 2.79, 4 Ir 2.79
Zn  0.2500  0.2500  0.7500 x4  4 Zr 2.79, 4 Ir 2.79
Ir  0.0000  0.0000  0.5000 x4  4 Zr 2.79, 4 Zn 2.79

=====

Repeat the eighth record exactly.
MgTeSe2 at its PBEsol-relaxed geometry, computed with meta-GGA SCAN.

Values from the calculation:
offset from the most stable computed form	343.2	meV/atom
ΔE_f (raw)	-0.19	eV per formula unit

a b c (Å): 3.9934 3.9934 11.5810
angles (deg): 90.00 90.00 90.00
Closest atoms and distances in Å follow each position.
Space group I4/mmm (No. 139)
One atom of each set of equivalent atoms:
Mg  0.0000  0.0000  0.0000 x2  4 Te 2.82
Te  0.0000  0.0000  0.5000 x2  4 Mg 2.82
Se  0.0000  0.5000  0.2500 x4  4 Se 2.82